Record 1
A relaxed TcRh4 crystal. Source: Alexandria via LeMat-Bulk, functional GGA-PBE.

The structure belongs to space group Im-3m (No. 229); the cell edges are 5.655, 5.655 and 5.655 Å and the angles 90.00°, 90.00° and 90.00°. The inequivalent atoms are Tc at (0.000, 0.000, 0.000) and Rh at (0.250, 0.250, 0.250).

The formation energy is 0.92 eV/atom. The value obtained for the energy is -7.036 eV per atom. The calculation puts the offset from the most stable computed form at 971 meV per atom. The magnetic moment comes out at 0.00 μB/atom.

Record 2
A relaxed Sc6Cd5Pt crystal. Source: Alexandria via LeMat-Bulk, functional GGA-PBE.

The structure belongs to space group Cmmm (No. 65); the cell edges are 4.939, 14.798 and 6.997 Å and the angles 90.00°, 90.00° and 90.00°. The inequivalent atoms are Sc at (0.000, 0.000, 0.232), Sc at (0.000, 0.343, 0.241), Cd at (0.000, 0.171, 0.500), Cd at (0.000, 0.176, 0.000), Cd at (0.000, 0.500, 0.500) and Pt at (0.000, 0.500, 0.000).

The formation energy is -0.45 eV/atom. The value obtained for the energy is -4.503 eV per atom. The magnetic moment comes out at 0.00 μB/atom.

- Which value of energy does entry 2 give?
  -4.503 eV per atom